No. 1
DFT (PBE-GGA) results for KY4Ta after structural relaxation.

Values from the calculation:
Mass density: 4.9 g/cm³
Crystal system: cubic
Magnetization: 1.9 μB per formula unit
SG: F-43m, No. 216
Energy of formation: 94.3 kJ per mole of atoms

Lattice parameters (Å, degrees): 6.5056 6.5056 6.5056 60.00 60.00 60.00
With the nearest neighbours (Å) after each atom.
Atoms (fractional coordinates):
Y  0.3715  0.8856  0.3715  6 Y 3.16-3.34
Y  0.3715  0.3715  0.8856  6 Y 3.16-3.34
Y  0.8856  0.3715  0.3715  6 Y 3.16-3.34
K  0.7500  0.7500  0.7500  12 Y 3.82, 4 Ta 3.98
Y  0.3715  0.3715  0.3715  6 Y 3.16-3.34
Ta  0.0000  0.0000  0.0000  12 Y 3.80, 4 K 3.98

No. 2
DFT (PBE-GGA) results for Nb2CuRu after structural relaxation.

Values from the calculation:
Mass density: 9.4 g/cm³
Crystal system: tetragonal
Magnetization: 0.0 μB per formula unit
SG: P4/mmm, No. 123
Energy of formation: -7.3 kJ per mole of atoms

Lattice parameters (Å, degrees): 3.8961 3.9965 3.9965 90.00 90.00 90.00
With the nearest neighbours (Å) after each atom.
Atoms (fractional coordinates):
Cu  0.5000  0.5000  0.5000  8 Nb 2.79, 4 Ru 2.83
Nb  0.0000  0.5000  0.0000  4 Ru 2.79, 4 Cu 2.79, 4 Nb 2.83
Nb  0.0000  0.0000  0.5000  4 Ru 2.79, 4 Cu 2.79, 4 Nb 2.83
Ru  0.5000  0.0000  0.0000  8 Nb 2.79, 4 Cu 2.83

No. 3
DFT (PBE-GGA) results for BaAg2As after structural relaxation.

Values from the calculation:
Mass density: 6.4 g/cm³
Crystal system: orthorhombic
Magnetization: 0.0 μB per formula unit
SG: Imm2, No. 44
Energy of formation: -24.4 kJ per mole of atoms

Lattice parameters (Å, degrees): 5.4158 5.4158 5.4158 127.13 110.77 92.39
With the nearest neighbours (Å) after each atom.
Atoms (fractional coordinates):
Ag  0.7217  0.2217  0.5000  2 As 2.65, 2 Ag 2.92
As  0.5753  0.5753  0.0000  3 Ag 2.65-2.75
Ba  0.2610  0.7610  0.5000  5 Ag 3.36-3.45, 4 As 3.37-3.38
Ag  0.9420  0.9420  0.0000  1 As 2.75, 2 Ag 2.92

No. 4
DFT (PBE-GGA) results for Mg2BeRu after structural relaxation.

Values from the calculation:
Mass density: 4.6 g/cm³
Crystal system: cubic
Magnetization: 0.0 μB per formula unit
SG: F-43m, No. 216
Energy of formation: 9.4 kJ per mole of atoms

Lattice parameters (Å, degrees): 4.3406 4.3406 4.3406 60.00 60.00 60.00
With the nearest neighbours (Å) after each atom.
Atoms (fractional coordinates):
Mg  0.0000  0.0000  0.0000  4 Ru 2.66, 4 Mg 2.66
Ru  0.7500  0.7500  0.7500  4 Be 2.66, 4 Mg 2.66
Mg  0.2500  0.2500  0.2500  4 Mg 2.66, 4 Be 2.66
Be  0.5000  0.5000  0.5000  4 Mg 2.66, 4 Ru 2.66

No. 5
DFT (PBE-GGA) results for ZrPdI2 after structural relaxation.

Values from the calculation:
Mass density: 5.6 g/cm³
Formation energy from raw total energies: 0.0712 eV/atom
Crystal system: tetragonal
Magnetization: 2.0 μB per formula unit
SG: I-42d, No. 122

Lattice parameters (Å, degrees): 6.2423 6.2423 8.1609 67.51 67.51 90.00
With the nearest neighbours (Å) after each atom.
Atoms (fractional coordinates):
I  0.3750  0.3550  0.7500  2 Pd 2.73, 2 Zr 2.87
Pd  0.7500  0.2500  0.5000  4 I 2.73
I  0.8750  0.8950  0.7500  2 Pd 2.73, 2 Zr 2.87
I  0.1050  0.6250  0.2500  2 Pd 2.73, 2 Zr 2.87
Pd  0.0000  0.0000  0.0000  4 I 2.73
Zr  0.5000  0.5000  0.0000  4 I 2.87
I  0.6450  0.1250  0.2500  2 Pd 2.73, 2 Zr 2.87
Zr  0.2500  0.7500  0.5000  4 I 2.87

No. 6
DFT (PBE-GGA) results for LiLaSn2Au after structural relaxation.

Values from the calculation:
Mass density: 8.0 g/cm³
Crystal system: tetragonal
Magnetization: 0.0 μB per formula unit
SG: I-4m2, No. 119
Energy of formation: -62.3 kJ per mole of atoms

Lattice parameters (Å, degrees): 4.5165 4.5165 6.7389 109.58 109.58 90.00
With the nearest neighbours (Å) after each atom.
Atoms (fractional coordinates):
Li  0.2500  0.7500  0.5000  4 Sn 2.74
Sn  0.6186  0.6186  0.2371  2 Li 2.74, 2 Au 2.74, 1 Sn 2.81
La  0.0000  0.0000  0.0000  8 Sn 3.49, 4 Li 3.73, 4 Au 3.73
Au  0.7500  0.2500  0.5000  4 Sn 2.74
Sn  0.3814  0.3814  0.7629  2 Li 2.74, 2 Au 2.74, 1 Sn 2.81

No. 7
DFT (PBE-GGA) results for Y2CdPd after structural relaxation.

Values from the calculation:
Mass density: 6.2 g/cm³
Crystal system: tetragonal
Magnetization: 0.0 μB per formula unit
SG: I-42d, No. 122
Energy of formation: -22.4 kJ per mole of atoms

Lattice parameters (Å, degrees): 8.0481 8.0481 6.5589 52.16 52.16 90.00
With the nearest neighbours (Å) after each atom.
Atoms (fractional coordinates):
Y  0.8750  0.8341  0.7500  2 Pd 2.75
Y  0.1659  0.6250  0.2500  2 Pd 2.75
Y  0.3750  0.4159  0.7500  2 Pd 2.75
Cd  0.0000  0.0000  0.0000  4 Y 3.19, 2 Pd 3.26
Pd  0.5000  0.5000  0.0000  4 Y 2.75
Cd  0.7500  0.2500  0.5000  4 Y 3.19, 2 Pd 3.26
Pd  0.2500  0.7500  0.5000  4 Y 2.75
Y  0.5841  0.1250  0.2500  2 Pd 2.75

No. 8
DFT (PBE-GGA) results for Rb2BeTe2 after structural relaxation.

Values from the calculation:
Mass density: 3.9 g/cm³
Formation energy from raw total energies: -0.7948 eV/atom
Crystal system: orthorhombic
Magnetization: 0.0 μB per formula unit
SG: Ibam, No. 72
Energy above the most stable polymorph in this dataset: 0 kJ/mol of formula units

Lattice parameters (Å, degrees): 6.7948 8.8486 8.8486 50.37 67.42 67.42
With the nearest neighbours (Å) after each atom.
Atoms (fractional coordinates):
Rb  0.1432  0.0338  0.6797  2 Be 3.62, 6 Te 3.65-3.89
Te  0.9045  0.4262  0.7648  2 Be 2.54
Rb  0.8568  0.9662  0.3203  2 Be 3.62, 6 Te 3.65-3.89
Rb  0.3568  0.3203  0.9662  2 Be 3.62, 6 Te 3.65-3.89
Be  0.2500  0.5000  0.5000  4 Te 2.54
Te  0.0955  0.5738  0.2352  2 Be 2.54
Rb  0.6432  0.6797  0.0338  2 Be 3.62, 6 Te 3.65-3.89
Te  0.4045  0.7648  0.4262  2 Be 2.54
Be  0.7500  0.5000  0.5000  4 Te 2.54
Te  0.5955  0.2352  0.5738  2 Be 2.54

No. 9
DFT (PBE-GGA) results for Pm2TmC2 after structural relaxation.

Values from the calculation:
Mass density: 7.5 g/cm³
Crystal system: monoclinic
Magnetization: 0.5 μB per formula unit
SG: C2/m, No. 12
Energy of formation: -8.5 kJ per mole of atoms

Lattice parameters (Å, degrees): 5.3248 6.4280 7.3750 109.46 90.00 114.47
With the nearest neighbours (Å) after each atom.
Atoms (fractional coordinates):
Pm  0.9917  0.9833  0.2630  4 C 2.44-2.68
Tm  0.6532  0.3065  0.0962  3 C 2.36-2.45
Pm  0.3336  0.6672  0.4226  5 C 2.55-2.78
C  0.4985  0.9970  0.7644  2 Tm 2.36-2.45, 1 Pm 2.55
Pm  0.6664  0.3328  0.5774  5 C 2.55-2.78
Tm  0.3468  0.6935  0.9038  3 C 2.36-2.45
C  0.1684  0.3368  0.5975  5 Pm 2.44-2.69, 1 Tm 2.45
C  0.5015  0.0030  0.2356  2 Tm 2.36-2.45, 1 Pm 2.55
C  0.8316  0.6632  0.4025  5 Pm 2.44-2.69, 1 Tm 2.45
Pm  0.0083  0.0167  0.7370  4 C 2.44-2.68

No. 10
DFT (PBE-GGA) results for CoBi2RuC after structural relaxation.

Values from the calculation:
Mass density: 7.9 g/cm³
Crystal system: tetragonal
Magnetization: 3.7 μB per formula unit
SG: P4/mmm, No. 123
Energy of formation: 189.5 kJ per mole of atoms

Lattice parameters (Å, degrees): 5.1639 4.6315 5.1639 90.00 90.00 90.00
With the nearest neighbours (Å) after each atom.
Atoms (fractional coordinates):
Bi  0.0000  0.0000  0.5000  2 Ru 2.58
Co  0.0000  0.5000  0.0000  2 Ru 2.32
Bi  0.5000  0.0000  0.0000  2 Ru 2.58
C  0.5000  0.5000  0.5000  8 Bi 3.47, 4 Co 3.65
Ru  0.0000  0.0000  0.0000  2 Co 2.32, 4 Bi 2.58

No. 11
DFT (PBE-GGA) results for LiAg2F after structural relaxation.

Values from the calculation:
Mass density: 6.6 g/cm³
Formation energy from raw total energies: -0.4726 eV/atom
Crystal system: cubic
Magnetization: 0.0 μB per formula unit
SG: Fm-3m, No. 225
Energy above the most stable polymorph in this dataset: 133 kJ/mol of formula units

Lattice parameters (Å, degrees): 4.4137 4.4137 4.4137 60.00 60.00 60.00
With the nearest neighbours (Å) after each atom.
Atoms (fractional coordinates):
Ag  0.7500  0.7500  0.7500  4 F 2.70, 4 Li 2.70
Ag  0.2500  0.2500  0.2500  4 F 2.70, 4 Li 2.70
Li  0.0000  0.0000  0.0000  8 Ag 2.70
F  0.5000  0.5000  0.5000  8 Ag 2.70

No. 12
DFT (PBE-GGA) results for RbSr3Sc after structural relaxation.

Values from the calculation:
Mass density: 2.2 g/cm³
Crystal system: cubic
Magnetization: 3.7 μB per formula unit
SG: Pm-3m, No. 221
Energy above the most stable polymorph in this dataset: 0 kJ/mol of formula units
Energy of formation: 46.7 kJ per mole of atoms

Lattice parameters (Å, degrees): 6.6728 6.6728 6.6728 90.00 90.00 90.00
With the nearest neighbours (Å) after each atom.
Atoms (fractional coordinates):
Sc  0.0000  0.0000  0.0000  6 Sr 3.34
Sr  0.0000  0.0000  0.5000  2 Sc 3.34
Sr  0.5000  0.0000  0.0000  2 Sc 3.34
Rb  0.5000  0.5000  0.5000  12 Sr 4.72
Sr  0.0000  0.5000  0.0000  2 Sc 3.34

Q: What is the formula in the seventh record?
A: Y2CdPd

Q: magnetization of number 8 (Rb2BeTe2)?
A: 0.0 μB per formula unit

What did the fourth record say?
DFT (PBE-GGA) results for Mg2BeRu after structural relaxation.

Values from the calculation:
Mass density: 4.6 g/cm³
Crystal system: cubic
Magnetization: 0.0 μB per formula unit
SG: F-43m, No. 216
Energy of formation: 9.4 kJ per mole of atoms

Lattice parameters (Å, degrees): 4.3406 4.3406 4.3406 60.00 60.00 60.00
With the nearest neighbours (Å) after each atom.
Atoms (fractional coordinates):
Mg  0.0000  0.0000  0.0000  4 Ru 2.66, 4 Mg 2.66
Ru  0.7500  0.7500  0.7500  4 Be 2.66, 4 Mg 2.66
Mg  0.2500  0.2500  0.2500  4 Mg 2.66, 4 Be 2.66
Be  0.5000  0.5000  0.5000  4 Mg 2.66, 4 Ru 2.66